A relaxed AlInPb2 crystal. Source: the Alexandria database, functional GGA-PBE.

```
4
Lattice="-2.0477 4.2097 3.4517 -5.2314 -1.6584 1.9266 5.1108 -2.7764 0.0140" Properties=species:S:1:pos:R:3 pbc="T T T"
Pb 0.0000 0.0000 0.0000
Pb -3.6395 1.2757 2.6892
Al -1.8800 -1.5796 2.3149
In -0.2882 1.3545 3.0774
```

Summary:
Energy relative to the lowest polymorph listed for this composition ... 0.17 eV/f.u.
Total magnetization ... 0.0 μB/f.u.

A relaxed NdMgIr crystal. Source: the Alexandria database, functional GGA-PBE.

```
3
Lattice="3.3750 0.0000 0.0000 0.0000 3.3750 0.0000 -1.6875 -1.6875 5.9643" Properties=species:S:1:pos:R:3 pbc="T T T"
Mg 0.0000 0.0000 3.8148
Ir 1.6875 1.6875 5.2669
Nd 1.6875 1.6875 1.0576
```

Summary:
Total magnetization ... 0.0 μB/f.u.
VASP energy ... -5.428 eV/atom

no.,density (Mg/m³)
1,8.4
2,8.8